1.
Here is a relaxed NaAlPb crystal from the Alexandria database. Energies are from GGA-PBE.

- theoretical density (Mg/m³) = 5.316
- crystal system = triclinic
- calculated total energy (eV per cell) = -17.4
- spin magnetization (μB/atom) = 0.000
- volume (Å³/cell) = 160.7

Lattice parameters (Å, degrees): 3.3054 6.4045 8.2603 107.41 90.02 104.93
Closest atoms and distances in Å follow each position.
Space group P-1 (No. 2)
One atom of each set of equivalent atoms:
Na  0.1512  0.3064  0.1339  3 Al 3.22-3.36, 2 Na 3.31, 5 Pb 3.39-3.46
Al  0.3364  0.6735  0.5085  2 Al 2.68, 2 Pb 2.86-2.87
Pb  0.4438  0.8819  0.2444  2 Al 2.86-2.87

2.
Here is a relaxed SrCr2Ag crystal from the Alexandria database. Energies are from GGA-PBE.

- theoretical density (Mg/m³) = 5.777
- distance to the lowest polymorph of the same formula (meV/atom) = 337
- crystal system = monoclinic
- calculated total energy (eV per cell) = -41.5
- spin magnetization (μB/atom) = 0.000
- volume (Å³/cell) = 172.2

Lattice parameters (Å, degrees): 10.0419 3.1153 5.6567 90.00 103.35 90.00
Closest atoms and distances in Å follow each position.
Space group C2/m (No. 12)
One atom of each set of equivalent atoms:
Sr  0.0000  0.0000  0.0000  2 Sr 3.12, 4 Ag 3.23, 4 Cr 3.45
Cr  0.2284  0.0000  0.6125  2 Cr 2.12
Ag  0.0000  0.5000  0.5000  6 Cr 2.72-2.94